# 1
Here is crystalline Rb3ZrGa at its relaxed geometry from the Alexandria database. Energies are from PBE.

DFT formation energy (eV/atom): 1.100
Magnetic moment (μB per cell): 2.97
SG: No. 221
ΔE to the lowest computed polymorph (eV per formula unit): 0.00

abc: 6.755 6.755 6.755
angles: 90.00 90.00 90.00
Atoms (fractional coordinates):
Rb: 0.000 0.000 0.500
Rb: 0.000 0.500 0.000
Rb: 0.500 0.000 0.000
Zr: 0.500 0.500 0.500
Ga: 0.000 0.000 0.000

# 2
Here is crystalline RbZrGa at its relaxed geometry from the Alexandria database. Energies are from PBE.

DFT formation energy (eV/atom): 1.277
Magnetic moment (μB per cell): 3.12
SG: No. 194
ΔE to the lowest computed polymorph (eV per formula unit): 4.10

abc: 5.991 5.991 10.543
angles: 90.00 90.00 120.00
Atoms (fractional coordinates):
Rb: 0.333 0.667 0.250
Rb: 0.667 0.333 0.750
Zr: 0.000 0.000 0.000
Zr: 0.000 0.000 0.500
Ga: 0.000 0.000 0.250
Ga: 0.000 0.000 0.750

# 3
Here is crystalline RbZrGa at its relaxed geometry from the Alexandria database. Energies are from PBE.

DFT formation energy (eV/atom): 0.182
Magnetic moment (μB per cell): 0.00
SG: No. 51
ΔE to the lowest computed polymorph (eV per formula unit): 0.81

abc: 6.258 3.219 8.784
angles: 90.00 90.00 90.00
Atoms (fractional coordinates):
Rb: 0.250 0.000 0.113
Rb: 0.750 0.000 0.887
Zr: 0.000 0.000 0.500
Zr: 0.500 0.000 0.500
Ga: 0.250 0.500 0.707
Ga: 0.750 0.500 0.293

# 4
Here is crystalline RbZrGa at its relaxed geometry from the Alexandria database. Energies are from PBE.

DFT formation energy (eV/atom): 0.064
Magnetic moment (μB per cell): 0.00
SG: No. 8
ΔE to the lowest computed polymorph (eV per formula unit): 0.46

abc: 4.640 4.640 12.427
angles: 90.57 90.57 60.00
Atoms (fractional coordinates):
Rb: 0.000 0.000 0.000
Rb: 0.655 0.655 0.351
Zr: 0.326 0.326 0.583
Zr: 0.662 0.662 0.723
Ga: 0.330 0.330 0.803
Ga: 0.993 0.993 0.624

# 5
Here is crystalline RbZr2Ga2 at its relaxed geometry from the Alexandria database. Energies are from PBE.

DFT formation energy (eV/atom): -0.024
Magnetic moment (μB per cell): 0.00
SG: No. 127
ΔE to the lowest computed polymorph (eV per formula unit): 0.00

abc: 8.823 8.823 3.026
angles: 90.00 90.00 90.00
Atoms (fractional coordinates):
Rb: 0.000 0.000 0.000
Rb: 0.500 0.500 0.000
Zr: 0.125 0.375 0.000
Zr: 0.375 0.875 0.000
Zr: 0.625 0.125 0.000
Zr: 0.875 0.625 0.000
Ga: 0.167 0.667 0.500
Ga: 0.333 0.167 0.500
Ga: 0.667 0.833 0.500
Ga: 0.833 0.333 0.500

# 6
Here is crystalline RbZrGa at its relaxed geometry from the Alexandria database. Energies are from PBE.

DFT formation energy (eV/atom): 0.705
Magnetic moment (μB per cell): 0.00
SG: No. 187
ΔE to the lowest computed polymorph (eV per formula unit): 2.38

abc: 5.328 5.328 6.696
angles: 90.00 90.00 120.00
Atoms (fractional coordinates):
Rb: 0.000 0.000 0.000
Rb: 0.000 0.000 0.500
Zr: 0.333 0.667 0.250
Zr: 0.333 0.667 0.750
Ga: 0.667 0.333 0.249
Ga: 0.667 0.333 0.751

# 7
Here is crystalline RbZrGa at its relaxed geometry from the Alexandria database. Energies are from PBE.

DFT formation energy (eV/atom): 0.617
Magnetic moment (μB per cell): 1.03
SG: No. 187
ΔE to the lowest computed polymorph (eV per formula unit): 2.12

abc: 4.616 4.616 6.237
angles: 90.00 90.00 120.00
Atoms (fractional coordinates):
Rb: 0.000 0.000 0.000
Zr: 0.667 0.333 0.500
Ga: 0.333 0.667 0.500

# 8
Here is crystalline RbZrGa at its relaxed geometry from the Alexandria database. Energies are from PBE.

DFT formation energy (eV/atom): -0.088
Magnetic moment (μB per cell): 0.00
SG: No. 12
ΔE to the lowest computed polymorph (eV per formula unit): 0.01

abc: 14.170 14.170 3.558
angles: 96.52 96.52 16.28
Atoms (fractional coordinates):
Rb: 0.083 0.083 0.100
Rb: 0.917 0.917 0.900
Zr: 0.215 0.215 0.219
Zr: 0.785 0.785 0.781
Ga: 0.319 0.319 0.313
Ga: 0.681 0.681 0.687